NdScP: optimized geometry, PBE-GGA.

Geometry as CIF:
```
data_NdScP
_symmetry_space_group_name_H-M 'P 1'
_symmetry_Int_Tables_number 1
_symmetry_space_group_name_Hall 'P 1'
_cell_length_a 4.205
_cell_length_b 4.430
_cell_length_c 4.430
_cell_angle_alpha 120.00
_cell_angle_beta 90.00
_cell_angle_gamma 90.00
loop_
_atom_site_label
_atom_site_fract_x
_atom_site_fract_y
_atom_site_fract_z
Sc1 0.195 0.333 0.667
P1 0.106 0.000 0.000
Nd1 0.698 0.667 0.333
```

Output
Size of the total moment, μB/f.u.: 0.00
Volume, Å³ per cell: 71
Calculated formation energy, eV per formula unit: -2.1
VASP energy, eV/atom: -6.2178
Space-group type: P3m1, No. 156

---

NdScPSe: optimized geometry, PBE-GGA.

Geometry as CIF:
```
data_NdScPSe
_symmetry_space_group_name_H-M 'P 1'
_symmetry_Int_Tables_number 1
_symmetry_space_group_name_Hall 'P 1'
_cell_length_a 3.928
_cell_length_b 3.928
_cell_length_c 7.250
_cell_angle_alpha 90.00
_cell_angle_beta 105.70
_cell_angle_gamma 120.00
loop_
_atom_site_label
_atom_site_fract_x
_atom_site_fract_y
_atom_site_fract_z
Nd1 0.486 0.141 0.642
Sc1 0.118 0.957 0.090
P1 0.322 0.559 0.896
Se1 0.952 0.374 0.341
```

Output
Size of the total moment, μB/f.u.: 0.01
Volume, Å³ per cell: 92
VASP energy, eV/atom: -6.6361
Space-group type: R3m, No. 160

---

NdThSc2P4: optimized geometry, PBE-GGA.

Geometry as CIF:
```
data_NdThSc2P4
_symmetry_space_group_name_H-M 'P 1'
_symmetry_Int_Tables_number 1
_symmetry_space_group_name_Hall 'P 1'
_cell_length_a 3.983
_cell_length_b 6.810
_cell_length_c 6.894
_cell_angle_alpha 70.35
_cell_angle_beta 90.00
_cell_angle_gamma 90.00
loop_
_atom_site_label
_atom_site_fract_x
_atom_site_fract_y
_atom_site_fract_z
Nd1 0.500 0.500 0.000
Th1 0.000 0.500 0.500
Sc1 0.000 0.000 0.000
Sc2 0.500 0.000 0.500
P1 0.000 0.774 0.740
P2 0.000 0.226 0.260
P3 0.500 0.774 0.243
P4 0.500 0.226 0.757
```

Output
Size of the total moment, μB/f.u.: 0.00
Volume, Å³ per cell: 176
Calculated formation energy, eV per formula unit: -12.0
VASP energy, eV/atom: -7.3133
Space-group type: P2/m, No. 10

---

Nd2ThScP4: optimized geometry, PBE-GGA.

Geometry as CIF:
```
data_Nd2ThScP4
_symmetry_space_group_name_H-M 'P 1'
_symmetry_Int_Tables_number 1
_symmetry_space_group_name_Hall 'P 1'
_cell_length_a 4.083
_cell_length_b 7.017
_cell_length_c 7.077
_cell_angle_alpha 109.43
_cell_angle_beta 90.00
_cell_angle_gamma 90.00
loop_
_atom_site_label
_atom_site_fract_x
_atom_site_fract_y
_atom_site_fract_z
Nd1 0.500 0.000 0.500
Nd2 0.000 0.500 0.500
Th1 0.000 0.000 0.000
Sc1 0.500 0.500 0.000
P1 0.500 0.256 0.240
P2 0.500 0.744 0.760
P3 0.000 0.265 0.767
P4 0.000 0.735 0.233
```

Output
Size of the total moment, μB/f.u.: 0.00
Volume, Å³ per cell: 191
Calculated formation energy, eV per formula unit: -12.1
VASP energy, eV/atom: -7.1263
Space-group type: P2/m, No. 10

---

NdTmSc2P4: optimized geometry, PBE-GGA.

Geometry as CIF:
```
data_NdTmSc2P4
_symmetry_space_group_name_H-M 'P 1'
_symmetry_Int_Tables_number 1
_symmetry_space_group_name_Hall 'P 1'
_cell_length_a 3.919
_cell_length_b 6.761
_cell_length_c 6.782
_cell_angle_alpha 70.44
_cell_angle_beta 90.00
_cell_angle_gamma 90.00
loop_
_atom_site_label
_atom_site_fract_x
_atom_site_fract_y
_atom_site_fract_z
Nd1 0.500 0.500 0.000
Tm1 0.000 0.500 0.500
Sc1 0.000 0.000 0.000
Sc2 0.500 0.000 0.500
P1 0.000 0.771 0.737
P2 0.000 0.229 0.263
P3 0.500 0.766 0.251
P4 0.500 0.234 0.749
```

Output
Size of the total moment, μB/f.u.: 0.00
Volume, Å³ per cell: 169
Calculated formation energy, eV per formula unit: -12.0
VASP energy, eV/atom: -6.9388
Space-group type: P2/m, No. 10

---

Nd2ScUP4: optimized geometry, PBE-GGA.

Geometry as CIF:
```
data_Nd2ScUP4
_symmetry_space_group_name_H-M 'P 1'
_symmetry_Int_Tables_number 1
_symmetry_space_group_name_Hall 'P 1'
_cell_length_a 3.998
_cell_length_b 6.895
_cell_length_c 6.965
_cell_angle_alpha 109.19
_cell_angle_beta 90.00
_cell_angle_gamma 90.00
loop_
_atom_site_label
_atom_site_fract_x
_atom_site_fract_y
_atom_site_fract_z
Nd1 0.500 0.000 0.500
Nd2 0.000 0.500 0.500
Sc1 0.500 0.500 0.000
U1 0.000 0.000 0.000
P1 0.500 0.246 0.229
P2 0.500 0.754 0.771
P3 0.000 0.259 0.775
P4 0.000 0.741 0.225
```

Output
Size of the total moment, μB/f.u.: 1.95
Volume, Å³ per cell: 181
Calculated formation energy, eV per formula unit: -10.9
VASP energy, eV/atom: -7.4641
Space-group type: P2/m, No. 10

---

Nd2YScP4: optimized geometry, PBE-GGA.

Geometry as CIF:
```
data_Nd2YScP4
_symmetry_space_group_name_H-M 'P 1'
_symmetry_Int_Tables_number 1
_symmetry_space_group_name_Hall 'P 1'
_cell_length_a 4.039
_cell_length_b 6.986
_cell_length_c 6.971
_cell_angle_alpha 109.52
_cell_angle_beta 90.00
_cell_angle_gamma 90.00
loop_
_atom_site_label
_atom_site_fract_x
_atom_site_fract_y
_atom_site_fract_z
Nd1 0.500 0.000 0.500
Nd2 0.000 0.500 0.500
Y1 0.500 0.500 0.000
Sc1 0.000 0.000 0.000
P1 0.500 0.237 0.231
P2 0.500 0.763 0.769
P3 0.000 0.248 0.764
P4 0.000 0.752 0.236
```

Output
Size of the total moment, μB/f.u.: 0.00
Volume, Å³ per cell: 185
Calculated formation energy, eV per formula unit: -12.1
VASP energy, eV/atom: -7.0094
Space-group type: P2/m, No. 10

---

Nd2ZrScP4: optimized geometry, PBE-GGA.

Geometry as CIF:
```
data_Nd2ZrScP4
_symmetry_space_group_name_H-M 'P 1'
_symmetry_Int_Tables_number 1
_symmetry_space_group_name_Hall 'P 1'
_cell_length_a 3.946
_cell_length_b 6.828
_cell_length_c 6.862
_cell_angle_alpha 109.31
_cell_angle_beta 90.00
_cell_angle_gamma 90.00
loop_
_atom_site_label
_atom_site_fract_x
_atom_site_fract_y
_atom_site_fract_z
Nd1 0.500 0.000 0.500
Nd2 0.000 0.500 0.500
Zr1 0.000 0.000 0.000
Sc1 0.500 0.500 0.000
P1 0.500 0.241 0.225
P2 0.500 0.759 0.775
P3 0.000 0.258 0.776
P4 0.000 0.742 0.224
```

Output
Size of the total moment, μB/f.u.: 0.00
Volume, Å³ per cell: 174
Calculated formation energy, eV per formula unit: -11.8
VASP energy, eV/atom: -7.2282
Space-group type: P2/m, No. 10